# CsTbCdTe3

A relaxed structure of CsTbCdTe3 (GGA-PBE, the Alexandria database).

abc: 10.182 4.568 11.213
angles: 90.00 111.10 90.00
Atoms (fractional coordinates):
Cs (0.220, 0.250, 0.248)
Cs (0.780, 0.750, 0.752)
Tb (0.329, 0.750, 0.866)
Tb (0.671, 0.250, 0.134)
Cd (0.083, 0.250, 0.611)
Cd (0.917, 0.750, 0.389)
Te (0.118, 0.250, 0.872)
Te (0.222, 0.750, 0.551)
Te (0.474, 0.750, 0.156)
Te (0.526, 0.250, 0.844)
Te (0.778, 0.250, 0.449)
Te (0.882, 0.750, 0.128)

Values from the calculation:
Total magnetization (μB/f.u.): 0.0
Raw total energy (eV/cell): -44.7
Uncorrected formation energy (kJ/mol of formula units): -628
Volume (Å³ per atom): 40.55
Mass density (g cm⁻³): 5.37


# SrCa12Mg6

A relaxed structure of SrCa12Mg6 (GGA-PBE, the Alexandria database).

abc: 8.843 8.843 8.843
angles: 87.11 87.11 87.11
Atoms (fractional coordinates):
Sr (0.000, 0.000, 0.000)
Ca (0.024, 0.381, 0.161)
Ca (0.161, 0.024, 0.381)
Ca (0.199, 0.575, 0.465)
Ca (0.381, 0.161, 0.024)
Ca (0.425, 0.535, 0.801)
Ca (0.465, 0.199, 0.575)
Ca (0.535, 0.801, 0.425)
Ca (0.575, 0.465, 0.199)
Ca (0.619, 0.839, 0.976)
Ca (0.801, 0.425, 0.535)
Ca (0.839, 0.976, 0.619)
Ca (0.976, 0.619, 0.839)
Mg (0.109, 0.266, 0.727)
Mg (0.266, 0.727, 0.109)
Mg (0.273, 0.891, 0.734)
Mg (0.727, 0.109, 0.266)
Mg (0.734, 0.273, 0.891)
Mg (0.891, 0.734, 0.273)

Values from the calculation:
Total magnetization (μB/f.u.): 0.0
Raw total energy (eV/cell): -35.0
Volume (Å³ per atom): 36.26
Energy of formation (eV per formula unit): 0.31
Mass density (g cm⁻³): 1.72


# CsCrGaCl6

A relaxed structure of CsCrGaCl6 (GGA-PBE, the Alexandria database).

abc: 6.376 6.381 7.820
angles: 91.59 91.74 116.35
Atoms (fractional coordinates):
Cs (0.000, 0.000, 0.000)
Cr (0.316, 0.684, 0.500)
Ga (0.656, 0.343, 0.500)
Cl (0.355, 0.028, 0.660)
Cl (0.361, 0.400, 0.322)
Cl (0.600, 0.638, 0.678)
Cl (0.629, 0.051, 0.305)
Cl (0.949, 0.369, 0.694)
Cl (0.971, 0.645, 0.340)

Values from the calculation:
Total magnetization (μB/f.u.): 4.0
Raw total energy (eV/cell): -35.8
Uncorrected formation energy (kJ/mol of formula units): -1084
Volume (Å³ per atom): 31.63
Mass density (g cm⁻³): 2.73


# TlCuPd6

A relaxed structure of TlCuPd6 (GGA-PBE, the Alexandria database).

abc: 6.915 6.915 11.368
angles: 90.00 90.00 110.60
Atoms (fractional coordinates):
Tl (0.000, 0.000, 0.247)
Tl (0.000, 0.000, 0.753)
Tl (0.246, 0.754, 0.500)
Tl (0.754, 0.246, 0.500)
Cu (0.247, 0.753, 0.000)
Cu (0.500, 0.500, 0.244)
Cu (0.500, 0.500, 0.756)
Cu (0.753, 0.247, 0.000)
Pd (0.000, 0.000, 0.000)
Pd (0.000, 0.000, 0.500)
Pd (0.130, 0.383, 0.120)
Pd (0.130, 0.383, 0.880)
Pd (0.135, 0.383, 0.369)
Pd (0.135, 0.383, 0.631)
Pd (0.250, 0.750, 0.240)
Pd (0.250, 0.750, 0.760)
Pd (0.383, 0.130, 0.120)
Pd (0.383, 0.130, 0.880)
Pd (0.383, 0.135, 0.369)
Pd (0.383, 0.135, 0.631)
Pd (0.500, 0.500, 0.000)
Pd (0.500, 0.500, 0.500)
Pd (0.617, 0.865, 0.369)
Pd (0.617, 0.865, 0.631)
Pd (0.617, 0.870, 0.120)
Pd (0.617, 0.870, 0.880)
Pd (0.750, 0.250, 0.240)
Pd (0.750, 0.250, 0.760)
Pd (0.865, 0.617, 0.369)
Pd (0.865, 0.617, 0.631)
Pd (0.870, 0.617, 0.120)
Pd (0.870, 0.617, 0.880)

Values from the calculation:
Total magnetization (μB/f.u.): 0.0
Raw total energy (eV/cell): -153.8
Volume (Å³ per atom): 15.90
Energy of formation (eV per formula unit): -0.83
E above lowest polymorph (meV/atom): 0
Mass density (g cm⁻³): 11.83


# BaSN2

A relaxed structure of BaSN2 (GGA-PBE, the Alexandria database).

abc: 5.141 5.155 7.384
angles: 101.66 94.13 119.64
Atoms (fractional coordinates):
Ba (0.000, 0.000, 0.000)
S (0.334, 0.665, 0.000)
N (0.009, 0.012, 0.427)
N (0.990, 0.985, 0.573)

Values from the calculation:
Total magnetization (μB/f.u.): 0.0
Raw total energy (eV/cell): -25.9
Uncorrected formation energy (kJ/mol of formula units): -308
Volume (Å³ per atom): 40.78
Mass density (g cm⁻³): 2.01


# CeAlSO2

A relaxed structure of CeAlSO2 (GGA-PBE, the Alexandria database).

abc: 3.738 3.738 5.611
angles: 90.00 90.00 90.00
Atoms (fractional coordinates):
Ce (0.000, 0.000, 0.000)
Al (0.500, 0.500, 0.360)
S (0.500, 0.500, 0.769)
O (0.000, 0.500, 0.268)
O (0.500, 0.000, 0.268)

Values from the calculation:
Total magnetization (μB/f.u.): 1.0
Raw total energy (eV/cell): -36.8
Uncorrected formation energy (kJ/mol of formula units): -1265
Volume (Å³ per atom): 15.68
Mass density (g cm⁻³): 4.89


# Ba2AcMnN4

A relaxed structure of Ba2AcMnN4 (GGA-PBE, the Alexandria database).

abc: 7.608 7.566 5.763
angles: 90.00 90.00 90.00
Atoms (fractional coordinates):
Ba (0.235, 0.152, 0.000)
Ba (0.265, 0.848, 0.500)
Ba (0.735, 0.848, 0.500)
Ba (0.765, 0.152, 0.000)
Ac (0.000, 0.402, 0.502)
Ac (0.500, 0.598, 0.002)
Mn (0.000, 0.666, 0.040)
Mn (0.500, 0.334, 0.540)
N (0.000, 0.428, 0.008)
N (0.000, 0.693, 0.351)
N (0.203, 0.767, 0.949)
N (0.297, 0.233, 0.449)
N (0.500, 0.307, 0.851)
N (0.500, 0.572, 0.508)
N (0.703, 0.233, 0.449)
N (0.797, 0.767, 0.949)

Values from the calculation:
Total magnetization (μB/f.u.): 2.0
Raw total energy (eV/cell): -110.0
Uncorrected formation energy (kJ/mol of formula units): -443
Volume (Å³ per atom): 20.73
Mass density (g cm⁻³): 6.13


# NaPmY2Se4

A relaxed structure of NaPmY2Se4 (GGA-PBE, the Alexandria database).

abc: 7.188 4.109 7.212
angles: 90.00 108.96 90.00
Atoms (fractional coordinates):
Na (0.000, 0.000, 0.000)
Pm (0.500, 0.500, 0.000)
Y (0.000, 0.500, 0.500)
Y (0.500, 0.000, 0.500)
Se (0.244, 0.000, 0.743)
Se (0.253, 0.500, 0.259)
Se (0.747, 0.500, 0.741)
Se (0.756, 0.000, 0.257)

Values from the calculation:
Total magnetization (μB/f.u.): 0.0
Raw total energy (eV/cell): -47.0
Uncorrected formation energy (kJ/mol of formula units): -1358
Volume (Å³ per atom): 25.18
Mass density (g cm⁻³): 5.45


- Which of these has the highest total magnetization?
  CsCrGaCl6


- What is the volume in the third record?
  31.63 Å³ per atom